# 1
Material: HoSc4Co2
Method: DFT, PBE-GGA
State: optimized geometry

Cell and atoms, written as POSCAR:
```
HoSc4Co2
1.0
7.098 0.000 0.000
0.000 5.858 0.000
-3.020 0.000 6.950
Ho Sc Co
2 8 4
Cartesian
-0.382 1.464 1.126 Ho
4.460 4.393 5.824 Ho
-0.043 5.857 4.055 Sc
-0.043 2.930 4.055 Sc
1.573 4.393 1.813 Sc
2.674 1.464 0.109 Sc
1.404 4.393 6.841 Sc
2.505 1.464 5.137 Sc
4.121 0.001 2.895 Sc
4.121 2.928 2.895 Sc
-2.062 1.464 5.074 Co
1.859 1.464 2.582 Co
2.219 4.393 4.367 Co
6.140 4.393 1.876 Co
```

=====

# 2
Material: HoScCo
Method: DFT, PBE-GGA
State: optimized geometry

Cell and atoms, written as POSCAR:
```
HoScCo
1.0
-1.629 2.709 7.338
1.629 -2.709 7.338
1.629 2.709 -7.338
Ho Sc Co
2 2 2
Cartesian
0.000 0.000 2.586 Ho
0.000 0.000 12.090 Ho
0.000 0.000 5.904 Sc
0.000 0.000 8.771 Sc
0.000 1.192 0.000 Co
0.000 4.227 0.000 Co
```

=====

# 3
Material: Ho8ScCo2
Method: DFT, PBE-GGA
State: optimized geometry

Cell and atoms, written as POSCAR:
```
Ho8ScCo2
1.0
6.086 -3.964 0.000
6.086 3.964 0.000
-0.146 0.000 6.324
Ho Sc Co
8 1 2
Cartesian
4.212 2.278 2.006 Ho
1.397 0.000 1.257 Ho
7.814 2.278 4.318 Ho
4.326 0.000 5.800 Ho
7.701 0.000 0.523 Ho
4.212 -2.278 2.006 Ho
10.630 0.000 5.067 Ho
7.814 -2.278 4.318 Ho
6.013 0.000 3.162 Sc
3.419 0.000 3.134 Co
8.607 0.000 3.189 Co
```

=====

Calculated formation energy for the records above, in order: -0.155; 0.045; -0.009 eV per atom
Size of the total moment for the records above, in order: 0.0; 0.0; 0.0 μB per formula unit
Volume for the records above, in order: 20.6; 21.6; 27.7 Å³/atom